No. 1
Tl2TcF11 | PBE | relaxed

a = 6.236 Å, b = 11.873 Å, c = 11.668 Å
α = 90.00°, β = 90.00°, γ = 90.00°
Space group Ibam (No. 72)
Asymmetric unit:
Tl 0.249 0.125 0.000 x8
Tc 0.000 0.000 0.250 x4
F 0.000 0.500 0.000 x4
F 0.051 0.271 0.000 x8
F 0.108 0.082 0.383 x16
F 0.247 0.096 0.196 x16


No. 2
Tl3TcF8 | PBE | relaxed

a = 8.2061 Å, b = 8.2061 Å, c = 7.5918 Å
α = 90.00°, β = 90.00°, γ = 120.00°
Space group P6_3mc (No. 186)
Asymmetric unit:
Tl 0.1585 0.3170 0.0000 x6
Tc 0.3333 0.6667 0.4873 x2
F 0.0000 0.0000 0.2844 x2
F 0.1077 0.5539 0.3467 x6
F 0.2192 0.4384 0.6268 x6
F 0.3333 0.6667 0.9894 x2


These records have raw formation energy values of -1.7715, -1.9570 eV per atom, in the order they appear.
These records have size of the total moment values of 0.0386, 0.1635 μB per atom, in the order they appear.